VASP calculation (PBE) on a relaxed structure of Pm2Y6Ho5.

**ΔH_f (0 K)**: 0.1014 eV/atom
**D(E_F)**: 1.324 states/eV per atom
**Electronic total energy**: -139.71 eV/cell
**Spin magnetization**: 0.000 μB per atom
**Space group**: Pbam

Cell: 11.7176 20.2386 3.5869 Å, 90.00 90.00 90.00°
Sites, in units of the cell vectors:
Pm (0.1654, 0.2130, 0.0000)
Pm (0.3346, 0.7130, 0.0000)
Pm (0.6654, 0.2870, 0.0000)
Pm (0.8346, 0.7870, 0.0000)
Y (0.0575, 0.9203, 0.0000)
Y (0.0836, 0.6320, 0.0000)
Y (0.1759, 0.3703, 0.5000)
Y (0.3241, 0.8703, 0.5000)
Y (0.4164, 0.1320, 0.0000)
Y (0.4425, 0.4203, 0.0000)
Y (0.5575, 0.5797, 0.0000)
Y (0.5836, 0.8680, 0.0000)
Y (0.6759, 0.1297, 0.5000)
Y (0.8241, 0.6297, 0.5000)
Y (0.9164, 0.3680, 0.0000)
Y (0.9425, 0.0797, 0.0000)
Ho (0.0000, 0.5000, 0.5000)
Ho (0.0932, 0.7750, 0.5000)
Ho (0.1993, 0.0494, 0.5000)
Ho (0.3007, 0.5494, 0.5000)
Ho (0.4068, 0.2750, 0.5000)
Ho (0.5000, 0.0000, 0.5000)
Ho (0.5932, 0.7250, 0.5000)
Ho (0.6993, 0.4506, 0.5000)
Ho (0.8007, 0.9506, 0.5000)
Ho (0.9068, 0.2250, 0.5000)


VASP calculation (PBE) on a relaxed structure of Pm3Y6Ho2.

**ΔH_f (0 K)**: 0.0188 eV/atom
**D(E_F)**: 1.375 states/eV per atom
**Electronic total energy**: -61.99 eV/cell
**Spin magnetization**: 0.000 μB per atom
**Space group**: R-3m

Cell: 32.1104 32.1104 32.1104 Å, 6.40 6.40 6.40°
Sites, in units of the cell vectors:
Pm (0.0000, 0.0000, 0.0000)
Pm (0.2722, 0.2722, 0.2722)
Pm (0.7278, 0.7278, 0.7278)
Y (0.0917, 0.0917, 0.0917)
Y (0.1818, 0.1818, 0.1818)
Y (0.3639, 0.3639, 0.3639)
Y (0.6361, 0.6361, 0.6361)
Y (0.8182, 0.8182, 0.8182)
Y (0.9083, 0.9083, 0.9083)
Ho (0.4549, 0.4549, 0.4549)
Ho (0.5451, 0.5451, 0.5451)


VASP calculation (PBE) on a relaxed structure of Pm2Y5Ho.

**ΔH_f (0 K)**: 0.0203 eV/atom
**D(E_F)**: 1.411 states/eV per atom
**Electronic total energy**: -92.47 eV/cell
**Spin magnetization**: 0.000 μB per atom
**Space group**: Pbam
**ΔE to the lowest computed polymorph**: 0 meV per atom

Cell: 7.1728 14.3463 5.0626 Å, 90.00 90.00 90.00°
Sites, in units of the cell vectors:
Pm (0.2488, 0.1245, 0.0000)
Pm (0.2512, 0.6245, 0.0000)
Pm (0.7488, 0.3755, 0.0000)
Pm (0.7512, 0.8755, 0.0000)
Y (0.0000, 0.5000, 0.5000)
Y (0.0006, 0.7506, 0.5000)
Y (0.2500, 0.3753, 0.0000)
Y (0.2500, 0.8753, 0.0000)
Y (0.4994, 0.2506, 0.5000)
Y (0.5000, 0.0000, 0.5000)
Y (0.5006, 0.7494, 0.5000)
Y (0.7500, 0.1247, 0.0000)
Y (0.7500, 0.6247, 0.0000)
Y (0.9994, 0.2494, 0.5000)
Ho (0.0000, 0.0000, 0.5000)
Ho (0.5000, 0.5000, 0.5000)


VASP calculation (PBE) on a relaxed structure of Pm5Y2Ho3.

**ΔH_f (0 K)**: 0.1850 eV/atom
**D(E_F)**: 1.803 states/eV per atom
**Electronic total energy**: -97.13 eV/cell
**Spin magnetization**: 0.000 μB per atom
**Space group**: C2/c

Cell: 9.1041 9.1041 10.0869 Å, 108.01 108.01 108.32°
Sites, in units of the cell vectors:
Pm (0.0192, 0.9808, 0.7500)
Pm (0.1234, 0.3787, 0.7504)
Pm (0.2689, 0.7311, 0.2500)
Pm (0.3787, 0.1234, 0.2504)
Pm (0.4792, 0.5208, 0.2500)
Pm (0.5208, 0.4792, 0.7500)
Pm (0.6213, 0.8766, 0.7496)
Pm (0.7311, 0.2689, 0.7500)
Pm (0.8766, 0.6213, 0.2496)
Pm (0.9808, 0.0192, 0.2500)
Y (0.2187, 0.4729, 0.4429)
Y (0.4729, 0.2187, 0.9429)
Y (0.5271, 0.7813, 0.0571)
Y (0.7813, 0.5271, 0.5571)
Ho (0.0282, 0.2788, 0.0586)
Ho (0.2288, 0.7712, 0.7500)
Ho (0.2788, 0.0282, 0.5586)
Ho (0.7212, 0.9718, 0.4414)
Ho (0.7712, 0.2288, 0.2500)
Ho (0.9718, 0.7212, 0.9414)


VASP calculation (PBE) on a relaxed structure of Pm6Y2Ho.

**ΔH_f (0 K)**: 0.0164 eV/atom
**D(E_F)**: 1.487 states/eV per atom
**Electronic total energy**: -45.86 eV/cell
**Spin magnetization**: 0.000 μB per atom
**Space group**: P-1
**ΔE to the lowest computed polymorph**: 0 meV per atom

Cell: 3.6216 9.5689 9.5749 Å, 69.09 79.31 79.23°
Sites, in units of the cell vectors:
Pm (0.0559, 0.2194, 0.1694)
Pm (0.1657, 0.6686, 0.5000)
Pm (0.3884, 0.5572, 0.1661)
Pm (0.6116, 0.4428, 0.8339)
Pm (0.8343, 0.3314, 0.5000)
Pm (0.9441, 0.7806, 0.8306)
Y (0.2779, 0.1099, 0.8341)
Y (0.7221, 0.8901, 0.1659)
Ho (0.5000, 0.0000, 0.5000)


VASP calculation (PBE) on a relaxed structure of Pm3Y2Ho7.

**ΔH_f (0 K)**: 0.0855 eV/atom
**D(E_F)**: 1.490 states/eV per atom
**Electronic total energy**: -58.20 eV/cell
**Spin magnetization**: 0.000 μB per atom
**Space group**: P2/m
**ΔE to the lowest computed polymorph**: 0 meV per atom

Cell: 6.3443 3.5229 17.5100 Å, 90.00 96.21 90.00°
Sites, in units of the cell vectors:
Pm (0.0000, 0.0000, 0.0000)
Pm (0.0492, 0.5000, 0.6583)
Pm (0.9508, 0.5000, 0.3417)
Y (0.4428, 0.0000, 0.3263)
Y (0.5572, 0.0000, 0.6737)
Ho (0.2280, 0.5000, 0.1649)
Ho (0.2463, 0.0000, 0.5005)
Ho (0.2759, 0.0000, 0.8340)
Ho (0.5000, 0.5000, 0.0000)
Ho (0.7241, 0.0000, 0.1660)
Ho (0.7537, 0.0000, 0.4995)
Ho (0.7720, 0.5000, 0.8351)


VASP calculation (PBE) on a relaxed structure of PmY7Ho12.

**ΔH_f (0 K)**: 0.2499 eV/atom
**D(E_F)**: 1.846 states/eV per atom
**Electronic total energy**: -99.93 eV/cell
**Spin magnetization**: 0.000 μB per atom
**Space group**: R-3
**ΔE to the lowest computed polymorph**: 0 meV per atom

Cell: 8.7114 8.7114 8.7114 Å, 86.84 86.84 86.84°
Sites, in units of the cell vectors:
Pm (0.0000, 0.0000, 0.0000)
Y (0.0032, 0.8798, 0.3660)
Y (0.1202, 0.6340, 0.9968)
Y (0.3660, 0.0032, 0.8798)
Y (0.5000, 0.5000, 0.5000)
Y (0.6340, 0.9968, 0.1202)
Y (0.8798, 0.3660, 0.0032)
Y (0.9968, 0.1202, 0.6340)
Ho (0.1044, 0.4307, 0.3473)
Ho (0.2319, 0.3542, 0.7581)
Ho (0.2419, 0.7681, 0.6458)
Ho (0.3473, 0.1044, 0.4307)
Ho (0.3542, 0.7581, 0.2319)
Ho (0.4307, 0.3473, 0.1044)
Ho (0.5693, 0.6527, 0.8956)
Ho (0.6458, 0.2419, 0.7681)
Ho (0.6527, 0.8956, 0.5693)
Ho (0.7581, 0.2319, 0.3542)
Ho (0.7681, 0.6458, 0.2419)
Ho (0.8956, 0.5693, 0.6527)


VASP calculation (PBE) on a relaxed structure of PmY2Ho.

**ΔH_f (0 K)**: 0.1273 eV/atom
**D(E_F)**: 2.223 states/eV per atom
**Electronic total energy**: -21.75 eV/cell
**Spin magnetization**: 0.000 μB per atom
**Space group**: Fm-3m
**ΔE to the lowest computed polymorph**: 116 meV per atom

Cell: 5.7095 5.7095 5.7095 Å, 60.00 60.00 60.00°
Sites, in units of the cell vectors:
Pm (0.0000, 0.0000, 0.0000)
Y (0.2500, 0.2500, 0.2500)
Y (0.7500, 0.7500, 0.7500)
Ho (0.5000, 0.5000, 0.5000)


VASP calculation (PBE) on a relaxed structure of Pm14YHo.

**ΔH_f (0 K)**: 0.0146 eV/atom
**D(E_F)**: 1.516 states/eV per atom
**Electronic total energy**: -77.32 eV/cell
**Spin magnetization**: 0.000 μB per atom
**Space group**: P4/mmm

Cell: 7.2871 7.2871 10.2718 Å, 90.00 90.00 90.00°
Sites, in units of the cell vectors:
Pm (0.0000, 0.0000, 0.0000)
Pm (0.0000, 0.5000, 0.0000)
Pm (0.0000, 0.5000, 0.5000)
Pm (0.2504, 0.2504, 0.2515)
Pm (0.2504, 0.2504, 0.7485)
Pm (0.2504, 0.7496, 0.2515)
Pm (0.2504, 0.7496, 0.7485)
Pm (0.5000, 0.0000, 0.0000)
Pm (0.5000, 0.0000, 0.5000)
Pm (0.5000, 0.5000, 0.0000)
Pm (0.7496, 0.2504, 0.2515)
Pm (0.7496, 0.2504, 0.7485)
Pm (0.7496, 0.7496, 0.2515)
Pm (0.7496, 0.7496, 0.7485)
Y (0.0000, 0.0000, 0.5000)
Ho (0.5000, 0.5000, 0.5000)


VASP calculation (PBE) on a relaxed structure of Pm4Y5Ho2.

**ΔH_f (0 K)**: 0.1007 eV/atom
**D(E_F)**: 1.634 states/eV per atom
**Electronic total energy**: -59.37 eV/cell
**Spin magnetization**: 0.000 μB per atom
**Space group**: C2/m
**ΔE to the lowest computed polymorph**: 66 meV per atom

Cell: 12.1981 12.1981 8.6565 Å, 94.59 94.59 16.75°
Sites, in units of the cell vectors:
Pm (0.0395, 0.0395, 0.3439)
Pm (0.2757, 0.2757, 0.1732)
Pm (0.7243, 0.7243, 0.8268)
Pm (0.9605, 0.9605, 0.6561)
Y (0.1302, 0.1302, 0.0465)
Y (0.1848, 0.1848, 0.4738)
Y (0.5000, 0.5000, 0.0000)
Y (0.8152, 0.8152, 0.5262)
Y (0.8698, 0.8698, 0.9535)
Ho (0.4121, 0.4121, 0.3043)
Ho (0.5879, 0.5879, 0.6957)


VASP calculation (PBE) on a relaxed structure of Pm7Y2Ho3.

**ΔH_f (0 K)**: 0.0702 eV/atom
**D(E_F)**: 1.490 states/eV per atom
**Electronic total energy**: -59.07 eV/cell
**Spin magnetization**: 0.000 μB per atom
**Space group**: P2/m
**ΔE to the lowest computed polymorph**: 0 meV per atom

Cell: 6.4425 3.5593 17.5636 Å, 90.00 95.94 90.00°
Sites, in units of the cell vectors:
Pm (0.0000, 0.0000, 0.0000)
Pm (0.2264, 0.5000, 0.1707)
Pm (0.2581, 0.5000, 0.4959)
Pm (0.2750, 0.0000, 0.8339)
Pm (0.7250, 0.0000, 0.1661)
Pm (0.7419, 0.5000, 0.5041)
Pm (0.7736, 0.5000, 0.8293)
Y (0.0583, 0.5000, 0.6706)
Y (0.9417, 0.5000, 0.3294)
Ho (0.4534, 0.0000, 0.3408)
Ho (0.5000, 0.5000, 0.0000)
Ho (0.5466, 0.0000, 0.6592)


VASP calculation (PBE) on a relaxed structure of Pm2Y4Ho.

**ΔH_f (0 K)**: 0.0668 eV/atom
**D(E_F)**: 1.743 states/eV per atom
**Electronic total energy**: -78.94 eV/cell
**Spin magnetization**: 0.000 μB per atom
**Space group**: P1

Cell: 6.1061 8.4351 9.5764 Å, 88.48 78.92 72.56°
Sites, in units of the cell vectors:
Pm (0.0000, 0.0000, 0.0000)
Pm (0.0121, 0.8843, 0.3509)
Pm (0.1532, 0.4899, 0.4911)
Pm (0.2549, 0.0472, 0.6325)
Y (0.2881, 0.1500, 0.2682)
Y (0.3594, 0.6270, 0.7725)
Y (0.4623, 0.2099, 0.9069)
Y (0.5521, 0.7760, 0.0622)
Y (0.5931, 0.6940, 0.4175)
Y (0.6770, 0.3646, 0.1940)
Y (0.7159, 0.2610, 0.5465)
Y (0.8050, 0.8382, 0.7101)
Ho (0.1159, 0.5540, 0.1232)
Ho (0.9078, 0.4182, 0.8424)


Question: Which of these has the highest D(E_F)?
Answer: PmY2Ho